AcCuPd: relaxed, PBE.

abc: 4.4648 4.4648 8.2794
angles: 90.00 90.00 120.00
Space group P6_3/mmc (No. 194)
Asymmetric unit:
Ac 0.0000 0.0000 0.0000 (multiplicity 2)
Cu 0.3333 0.6667 0.2500 (multiplicity 2)
Pd 0.3333 0.6667 0.7500 (multiplicity 2)

Results
density	9.22	Mg/m³
N(E_F)	1.97	states/eV per cell
energy	-30.2	eV for the cell shown
energy relative to the elements	-0.5715	eV/atom
energy relative to the lowest polymorph listed for this composition	0.000	eV per atom